[1]
An optimized crystal structure of TaZn2Pt. Source: Alexandria, functional PBE.

```
TaZn2Pt
1.0
4.510 -1.394 0.000
4.510 1.394 0.000
-0.696 0.000 5.035
Ta Zn Pt
1 2 1
direct
0.000 0.000 0.000 Ta
0.503 0.503 0.497 Zn
0.754 0.754 0.301 Zn
0.248 0.248 0.785 Pt
```

SG   Cm

***

[2]
An optimized crystal structure of TaZnPt2. Source: Alexandria, functional PBE.

```
TaZnPt2
1.0
1.422 0.821 9.131
-1.422 0.821 9.131
0.000 -1.642 9.131
Ta Zn Pt
1 1 2
direct
0.000 0.000 0.000 Ta
0.246 0.246 0.246 Zn
0.503 0.503 0.503 Pt
0.748 0.748 0.748 Pt
```

SG   R3m

***

no.,formation energy from the elements (eV/atom)
1,-0.209
2,-0.295